[1]
VASP calculation (SCAN) on a crystal of Zn5In relaxed with PBEsol.

Summary:
Space group = P4/mmm
Volume = 16.01 Å³ per atom
Formation enthalpy at 0 K = 0.107 eV/atom

Cell: 2.846 2.846 11.860 Å, 90.00 90.00 90.00°
Element x y z (fractional)
1 Zn 0.000 0.000 0.802
2 Zn 0.000 0.000 0.198
3 Zn 0.500 0.500 0.652
4 Zn 0.500 0.500 0.348
5 Zn 0.000 0.000 0.500
6 In 0.500 0.500 0.000


[2]
VASP calculation (SCAN) on a crystal of Zr4Zn3 relaxed with PBEsol.

Summary:
Space group = I4/mmm
Volume = 18.52 Å³ per atom
Energy above the most stable polymorph in this dataset = 94.3 meV/atom
Formation enthalpy at 0 K = -0.199 eV/atom

Cell: 3.032 3.032 14.269 Å, 96.10 96.10 90.00°
Element x y z (fractional)
1 Zn 0.000 0.000 0.000
2 Zn 0.276 0.276 0.553
3 Zn 0.724 0.724 0.447
4 Zr 0.153 0.153 0.306
5 Zr 0.430 0.430 0.860
6 Zr 0.570 0.570 0.140
7 Zr 0.847 0.847 0.694


[3]
VASP calculation (SCAN) on a crystal of Sr2CuS2F relaxed with PBEsol.

Summary:
Space group = P4/mmm
Volume = 39.39 Å³ per atom
VASP energy = -14.580 eV per atom

Cell: 4.116 4.116 13.948 Å, 90.00 90.00 90.00°
Element x y z (fractional)
1 Sr 0.500 0.500 0.164
2 Sr 0.500 0.500 0.836
3 Cu 0.500 0.500 0.500
4 S 0.500 0.500 0.646
5 S 0.500 0.500 0.354
6 F 0.500 0.500 0.000


[4]
VASP calculation (SCAN) on a crystal of Sr2CdRh relaxed with PBEsol.

Summary:
Space group = P4/mmm
Volume = 26.38 Å³ per atom
Formation enthalpy at 0 K = -0.224 eV/atom

Cell: 3.646 3.646 7.937 Å, 90.00 90.00 89.94°
Element x y z (fractional)
1 Sr 0.000 0.000 0.216
2 Sr 0.000 0.000 0.784
3 Rh 0.500 0.500 0.000
4 Cd 0.500 0.500 0.500


[5]
VASP calculation (SCAN) on a crystal of SrTaTi2 relaxed with PBEsol.

Summary:
Space group = Fm-3m
Volume = 20.16 Å³ per atom
Formation enthalpy at 0 K = 0.835 eV/atom

Cell: 4.849 4.849 4.849 Å, 60.00 60.00 60.00°
Site moments in Bohr magnetons follow the coordinates.
Element x y z (fractional)
1 Sr 0.000 0.000 0.000  0.03
2 Ti 0.250 0.250 0.250  0.51
3 Ti 0.750 0.750 0.750  0.51
4 Ta 0.500 0.500 0.500  0.23


[6]
VASP calculation (SCAN) on a crystal of La3Tc relaxed with PBEsol.

Summary:
Space group = Cmcm
Volume = 30.31 Å³ per atom
Formation enthalpy at 0 K = 0.013 eV/atom

Cell: 3.998 7.959 7.959 Å, 106.73 90.00 90.00°
Element x y z (fractional)
1 Tc 0.250 0.743 0.257
2 Tc 0.750 0.257 0.743
3 La 0.250 0.118 0.882
4 La 0.750 0.882 0.118
5 La 0.250 0.186 0.454
6 La 0.750 0.814 0.546
7 La 0.750 0.454 0.186
8 La 0.250 0.546 0.814